1.
# FePd2PtSe | Alexandria via LeMat-Bulk | PBE-GGA | optimized geometry
data_FePd2PtSe
_space_group_name_H-M_alt 'P 1'
_space_group_IT_number 1
_cell_length_a 4.612
_cell_length_b 4.649
_cell_length_c 4.612
_cell_angle_alpha 90.00
_cell_angle_beta 90.00
_cell_angle_gamma 90.00
loop_
_space_group_symop_operation_xyz
'x,y,z'
loop_
_atom_site_label
_atom_site_type_symbol
_atom_site_fract_x
_atom_site_fract_y
_atom_site_fract_z
_atom_site_occupancy
Pd1 Pd 0.000 0.000 0.500 1
Pd2 Pd 0.500 0.000 0.000 1
Se1 Se 0.500 0.500 0.500 1
Pt1 Pt 0.000 0.500 0.000 1
Fe1 Fe 0.000 0.000 0.000 1
# Total magnetic moment ... 0.868 μB/atom
# Calculated total energy ... -4.86 eV/atom
# Volume ... 98.87 Å³ per cell

***

2.
# MgSn2Pd | Alexandria via LeMat-Bulk | PBE-GGA | optimized geometry
data_MgSn2Pd
_space_group_name_H-M_alt 'P 1'
_space_group_IT_number 1
_cell_length_a 4.547
_cell_length_b 4.547
_cell_length_c 5.815
_cell_angle_alpha 66.99
_cell_angle_beta 66.99
_cell_angle_gamma 60.00
loop_
_space_group_symop_operation_xyz
'x,y,z'
loop_
_atom_site_label
_atom_site_type_symbol
_atom_site_fract_x
_atom_site_fract_y
_atom_site_fract_z
_atom_site_occupancy
Sn1 Sn 0.270 0.270 0.190 1
Sn2 Sn 0.065 0.065 0.804 1
Mg1 Mg 0.494 0.494 0.517 1
Pd1 Pd 0.670 0.670 0.990 1
# Total magnetic moment ... 0.000 μB/atom
# Calculated total energy ... -4.01 eV/atom
# Volume ... 92.90 Å³ per cell
# Energy of formation from the pure elements ... -0.311 eV/atom

***

3.
# CaZn2NiGe | Alexandria via LeMat-Bulk | PBE-GGA | optimized geometry
data_CaZn2NiGe
_space_group_name_H-M_alt 'P 1'
_space_group_IT_number 1
_cell_length_a 4.633
_cell_length_b 4.633
_cell_length_c 4.536
_cell_angle_alpha 90.00
_cell_angle_beta 90.00
_cell_angle_gamma 90.00
loop_
_space_group_symop_operation_xyz
'x,y,z'
loop_
_atom_site_label
_atom_site_type_symbol
_atom_site_fract_x
_atom_site_fract_y
_atom_site_fract_z
_atom_site_occupancy
Zn1 Zn 0.500 0.000 0.000 1
Zn2 Zn 0.000 0.500 0.000 1
Ni1 Ni 0.000 0.000 0.000 1
Ca1 Ca 0.500 0.500 0.500 1
Ge1 Ge 0.000 0.000 0.500 1
# Total magnetic moment ... 0.000 μB/atom
# Calculated total energy ... -3.21 eV/atom
# Volume ... 97.35 Å³ per cell
# Energy of formation from the pure elements ... -0.224 eV/atom

***

4.
# PmGa4 | Alexandria via LeMat-Bulk | PBE-GGA | optimized geometry
data_PmGa4
_space_group_name_H-M_alt 'P 1'
_space_group_IT_number 1
_cell_length_a 5.613
_cell_length_b 5.613
_cell_length_c 5.613
_cell_angle_alpha 90.00
_cell_angle_beta 90.00
_cell_angle_gamma 90.00
loop_
_space_group_symop_operation_xyz
'x,y,z'
loop_
_atom_site_label
_atom_site_type_symbol
_atom_site_fract_x
_atom_site_fract_y
_atom_site_fract_z
_atom_site_occupancy
Ga1 Ga 0.500 0.500 0.000 1
Ga2 Ga 0.500 0.000 0.500 1
Ga3 Ga 0.000 0.500 0.500 1
Ga4 Ga 0.000 0.000 0.000 1
Pm1 Pm 0.500 0.500 0.500 1
# Total magnetic moment ... 0.000 μB/atom
# Calculated total energy ... -2.67 eV/atom
# Volume ... 176.87 Å³ per cell
# Polymorph energy (0 for the lowest one) ... 1149.4 meV per atom
# Energy of formation from the pure elements ... 0.700 eV/atom

***

5.
# LaNpO5 | Alexandria via LeMat-Bulk | PBE-GGA | optimized geometry
data_LaNpO5
_space_group_name_H-M_alt 'P 1'
_space_group_IT_number 1
_cell_length_a 4.186
_cell_length_b 5.864
_cell_length_c 5.864
_cell_angle_alpha 70.69
_cell_angle_beta 69.09
_cell_angle_gamma 69.09
loop_
_space_group_symop_operation_xyz
'x,y,z'
loop_
_atom_site_label
_atom_site_type_symbol
_atom_site_fract_x
_atom_site_fract_y
_atom_site_fract_z
_atom_site_occupancy
Np1 Np 0.000 0.000 0.000 1
O1 O 0.000 0.702 0.298 1
O2 O 0.224 0.776 0.776 1
O3 O 0.500 0.000 0.000 1
O4 O 0.776 0.224 0.224 1
O5 O 0.000 0.298 0.702 1
La1 La 0.500 0.500 0.500 1
# Total magnetic moment ... 0.000 μB/atom
# Calculated total energy ... -9.02 eV/atom
# Volume ... 122.15 Å³ per cell

***

6.
# PmSiAgAu | Alexandria via LeMat-Bulk | PBE-GGA | optimized geometry
data_PmSiAgAu
_space_group_name_H-M_alt 'P 1'
_space_group_IT_number 1
_cell_length_a 4.892
_cell_length_b 4.892
_cell_length_c 4.892
_cell_angle_alpha 60.00
_cell_angle_beta 60.00
_cell_angle_gamma 60.00
loop_
_space_group_symop_operation_xyz
'x,y,z'
loop_
_atom_site_label
_atom_site_type_symbol
_atom_site_fract_x
_atom_site_fract_y
_atom_site_fract_z
_atom_site_occupancy
Au1 Au 0.000 0.000 0.000 1
Si1 Si 0.750 0.750 0.750 1
Ag1 Ag 0.500 0.500 0.500 1
Pm1 Pm 0.250 0.250 0.250 1
# Total magnetic moment ... 0.000 μB/atom
# Calculated total energy ... -4.38 eV/atom
# Volume ... 82.81 Å³ per cell

***

7.
# La2PrY3Bi6 | Alexandria via LeMat-Bulk | PBE-GGA | optimized geometry
data_La2PrY3Bi6
_space_group_name_H-M_alt 'P 1'
_space_group_IT_number 1
_cell_length_a 7.954
_cell_length_b 7.954
_cell_length_c 7.919
_cell_angle_alpha 99.63
_cell_angle_beta 99.63
_cell_angle_gamma 120.00
loop_
_space_group_symop_operation_xyz
'x,y,z'
loop_
_atom_site_label
_atom_site_type_symbol
_atom_site_fract_x
_atom_site_fract_y
_atom_site_fract_z
_atom_site_occupancy
La1 La 0.667 0.333 0.000 1
La2 La 0.333 0.667 0.000 1
Y1 Y 0.500 0.500 0.500 1
Y2 Y 0.167 0.833 0.500 1
Y3 Y 0.833 0.167 0.500 1
Bi1 Bi 0.581 0.913 0.739 1
Bi2 Bi 0.755 0.755 0.262 1
Bi3 Bi 0.245 0.245 0.738 1
Bi4 Bi 0.419 0.087 0.261 1
Bi5 Bi 0.913 0.581 0.739 1
Bi6 Bi 0.087 0.419 0.261 1
Pr1 Pr 0.000 0.000 0.000 1
# Total magnetic moment ... 0.000 μB/atom
# Calculated total energy ... -5.73 eV/atom
# Volume ... 408.90 Å³ per cell
# Energy of formation from the pure elements ... -0.959 eV/atom

***

8.
# HfTiAsBr2 | Alexandria via LeMat-Bulk | PBE-GGA | optimized geometry
data_HfTiAsBr2
_space_group_name_H-M_alt 'P 1'
_space_group_IT_number 1
_cell_length_a 5.129
_cell_length_b 5.129
_cell_length_c 5.322
_cell_angle_alpha 90.00
_cell_angle_beta 90.00
_cell_angle_gamma 90.00
loop_
_space_group_symop_operation_xyz
'x,y,z'
loop_
_atom_site_label
_atom_site_type_symbol
_atom_site_fract_x
_atom_site_fract_y
_atom_site_fract_z
_atom_site_occupancy
Br1 Br 0.000 0.500 0.000 1
Br2 Br 0.500 0.000 0.000 1
Hf1 Hf 0.000 0.000 0.000 1
Ti1 Ti 0.500 0.500 0.500 1
As1 As 0.000 0.000 0.500 1
# Total magnetic moment ... 0.037 μB/atom
# Calculated total energy ... -4.97 eV/atom
# Volume ... 140.00 Å³ per cell
# Polymorph energy (0 for the lowest one) ... 20.9 meV per atom